## AcNdCo (GGA-PBE)

Data for a relaxed AcNdCo crystal.

Geometry as CIF:
```
data_AcNdCo
_chemical_formula_sum 'Ac1 Nd1 Co1'
_space_group_name_H-M_alt 'P 1'
_space_group_IT_number 1
_space_group_name_Hall 'P 1'
_cell_length_a 4.948
_cell_length_b 4.948
_cell_length_c 4.948
_cell_angle_alpha 60.00
_cell_angle_beta 60.00
_cell_angle_gamma 60.00
loop_
_atom_site_label
_atom_site_type_symbol
_atom_site_fract_x
_atom_site_fract_y
_atom_site_fract_z
Ac1 Ac 0.000 0.000 0.000
Nd1 Nd 0.750 0.750 0.750
Co1 Co 0.500 0.500 0.500
```

Calculated values
- ΔH_f (0 K): 0.815 eV/atom
- Symmetry: F-43m
- Total magnetic moment: 0.01 μB per formula unit
- VASP energy: -4.51 eV per atom



## MoS (GGA-PBE)

Data for a relaxed MoS crystal.

Geometry as CIF:
```
data_MoS
_chemical_formula_sum 'Mo1 S1'
_space_group_name_H-M_alt 'P 1'
_space_group_IT_number 1
_space_group_name_Hall 'P 1'
_cell_length_a 3.192
_cell_length_b 3.192
_cell_length_c 3.309
_cell_angle_alpha 90.00
_cell_angle_beta 90.00
_cell_angle_gamma 120.00
loop_
_atom_site_label
_atom_site_type_symbol
_atom_site_fract_x
_atom_site_fract_y
_atom_site_fract_z
Mo1 Mo 0.000 0.000 0.000
S1 S 0.667 0.333 0.500
```

Calculated values
- Offset from the most stable computed form: 0 meV/atom
- Symmetry: P-6m2
- Total magnetic moment: 0.00 μB per formula unit
- VASP energy: -7.71 eV per atom



## RbEr6Cl2 (GGA-PBE)

Data for a relaxed RbEr6Cl2 crystal.

Geometry as CIF:
```
data_RbEr6Cl2
_chemical_formula_sum 'Rb1 Er6 Cl2'
_space_group_name_H-M_alt 'P 1'
_space_group_IT_number 1
_space_group_name_Hall 'P 1'
_cell_length_a 7.558
_cell_length_b 7.558
_cell_length_c 10.564
_cell_angle_alpha 126.73
_cell_angle_beta 126.73
_cell_angle_gamma 42.90
loop_
_atom_site_label
_atom_site_type_symbol
_atom_site_fract_x
_atom_site_fract_y
_atom_site_fract_z
Rb1 Rb 0.000 0.000 0.000
Er1 Er 0.086 0.086 0.695
Er2 Er 0.333 0.333 0.106
Er3 Er 0.372 0.372 0.476
Er4 Er 0.628 0.628 0.524
Er5 Er 0.667 0.667 0.894
Er6 Er 0.914 0.914 0.305
Cl1 Cl 0.185 0.185 0.516
Cl2 Cl 0.815 0.815 0.484
```

Calculated values
- Symmetry: C2/m
- Total magnetic moment: 0.82 μB per formula unit
- VASP energy: -3.80 eV per atom



## TaSnPO (GGA-PBE)

Data for a relaxed TaSnPO crystal.

Geometry as CIF:
```
data_TaSnPO
_chemical_formula_sum 'Ta2 Sn2 P2 O2'
_space_group_name_H-M_alt 'P 1'
_space_group_IT_number 1
_space_group_name_Hall 'P 1'
_cell_length_a 3.368
_cell_length_b 6.465
_cell_length_c 7.434
_cell_angle_alpha 90.00
_cell_angle_beta 90.00
_cell_angle_gamma 90.00
loop_
_atom_site_label
_atom_site_type_symbol
_atom_site_fract_x
_atom_site_fract_y
_atom_site_fract_z
Ta1 Ta 0.000 0.050 0.000
Ta2 Ta 0.000 0.950 0.500
Sn1 Sn 0.500 0.315 0.581
Sn2 Sn 0.500 0.685 0.081
P1 P 0.500 0.325 0.935
P2 P 0.500 0.675 0.435
O1 O 0.000 0.071 0.259
O2 O 0.000 0.929 0.759
```

Calculated values
- Offset from the most stable computed form: 0 meV/atom
- Symmetry: Pmc2_1
- Total magnetic moment: 0.00 μB per formula unit
- VASP energy: -7.55 eV per atom



Number 1: V 85.7 Å³ per cell. Number 2: V 29.2 Å³ per cell. Number 3: V 314.8 Å³ per cell. Number 4: V 161.9 Å³ per cell.